# SrCa2CuRh

A relaxed SrCa2CuRh crystal (PBE, the Alexandria database).

a = 5.394 Å, b = 5.394 Å, c = 5.131 Å
α = 90.00°, β = 90.00°, γ = 90.00°
Space group P4/mmm (No. 123)
Unique sites:
Sr (0.000, 0.000, 0.000)
Ca (0.000, 0.500, 0.500)
Cu (0.500, 0.500, 0.000)
Rh (0.500, 0.500, 0.500)

**Energy of formation**: 0.01 eV per atom
**DFT total energy**: -3.42 eV/atom

# CdSbTe2

A relaxed CdSbTe2 crystal (PBE, the Alexandria database).

a = 13.109 Å, b = 4.450 Å, c = 4.455 Å
α = 90.00°, β = 109.81°, γ = 90.00°
Space group Cm (No. 8)
Unique sites:
Cd (0.000, 0.000, 0.000)
Sb (0.247, 0.500, 0.750)
Te (0.009, 0.500, 0.510)
Te (0.244, 0.000, 0.246)

**DFT total energy**: -2.93 eV/atom
**E above lowest polymorph**: 57 meV per atom

# IrBr

A relaxed IrBr crystal (PBE, the Alexandria database).

a = 6.644 Å, b = 9.843 Å, c = 10.917 Å
α = 90.00°, β = 90.00°, γ = 90.00°
Space group Fddd (No. 70, origin choice 2)
Unique sites:
Ir (0.125, 0.125, 0.016)
Br (0.125, 0.285, 0.625)

**DFT total energy**: -4.47 eV/atom
**E above lowest polymorph**: 534 meV per atom

# BaLiSN2

A relaxed BaLiSN2 crystal (PBE, the Alexandria database).

a = 4.497 Å, b = 4.497 Å, c = 4.688 Å
α = 90.00°, β = 90.00°, γ = 90.00°
Space group P4/mmm (No. 123)
Unique sites:
Ba (0.000, 0.000, 0.000)
Li (0.500, 0.500, 0.500)
S (0.500, 0.500, 0.000)
N (0.000, 0.500, 0.500)

**DFT total energy**: -4.35 eV/atom
**E above lowest polymorph**: 0 meV per atom

# PbCS3

A relaxed PbCS3 crystal (PBE, the Alexandria database).

a = 5.159 Å, b = 5.159 Å, c = 5.159 Å
α = 90.00°, β = 90.00°, γ = 90.00°
Space group Pm-3m (No. 221)
Unique sites:
Pb (0.000, 0.000, 0.000)
C (0.500, 0.500, 0.500)
S (0.000, 0.000, 0.500)

**DFT total energy**: -2.86 eV/atom
**E above lowest polymorph**: 1306 meV per atom

# Cs2SrGeI6

A relaxed Cs2SrGeI6 crystal (PBE, the Alexandria database).

a = 6.251 Å, b = 6.251 Å, c = 12.495 Å
α = 90.00°, β = 90.00°, γ = 90.00°
Space group P4/mmm (No. 123)
Unique sites:
Cs (0.000, 0.000, 0.236)
Sr (0.500, 0.500, 0.500)
Ge (0.500, 0.500, 0.000)
I (0.000, 0.500, 0.000)
I (0.000, 0.500, 0.500)
I (0.500, 0.500, 0.237)

**DFT total energy**: -2.93 eV/atom
**E above lowest polymorph**: 4 meV per atom

# LaSc2Hg

A relaxed LaSc2Hg crystal (PBE, the Alexandria database).

a = 3.696 Å, b = 5.157 Å, c = 5.487 Å
α = 90.00°, β = 90.00°, γ = 90.00°
Space group Pmmm (No. 47)
Unique sites:
La (0.000, 0.000, 0.000)
Sc (0.000, 0.500, 0.500)
Sc (0.500, 0.500, 0.000)
Hg (0.500, 0.000, 0.500)

**Energy of formation**: -0.11 eV per atom
**DFT total energy**: -4.58 eV/atom

# VB3I

A relaxed VB3I crystal (PBE, the Alexandria database).

a = 4.258 Å, b = 4.258 Å, c = 4.258 Å
α = 90.00°, β = 90.00°, γ = 90.00°
Space group Pm-3m (No. 221)
Unique sites:
V (0.000, 0.000, 0.000)
B (0.000, 0.000, 0.500)
I (0.500, 0.500, 0.500)

**DFT total energy**: -4.39 eV/atom
**E above lowest polymorph**: 0 meV per atom